Entry 1:
KAg2SeBr: single point on PBEsol structure, meta-GGA SCAN.

space group	P4/mmm
total magnetization	0.000	μB per formula unit
volume	30.26	A^3/atom
total energy	-22.7477	eV per atom
formation energy from raw total energies	-0.627	eV/atom

Lattice parameters (Å, degrees): 4.8425 4.8425 6.4526 90.00 90.00 90.00
Last column: nearest neighbours and their distance in Å.
Positions (direct):
1 Ag 0.5000 0.0000 0.0000  2 Se 2.42
2 Br 0.5000 0.5000 0.5000  4 K 3.42
3 Se 0.0000 0.0000 0.0000  4 Ag 2.42
4 K 0.0000 0.0000 0.5000  2 Se 3.23, 4 Br 3.42
5 Ag 0.0000 0.5000 0.0000  2 Se 2.42

Entry 2:
BeCoHg3: single point on PBEsol structure, meta-GGA SCAN.

space group	Pm-3m
formation enthalpy at 0 K	0.69	eV/atom
total magnetization	2.421	μB per formula unit
volume	19.03	A^3/atom
total energy	-44.5364	eV per atom

Lattice parameters (Å, degrees): 4.5652 4.5652 4.5652 90.00 90.00 90.00
Last column: nearest neighbours and their distance in Å.
Positions (direct):
1 Co 0.5000 0.5000 0.5000  12 Hg 3.23
2 Hg 0.5000 0.0000 0.0000  2 Be 2.28
3 Hg 0.0000 0.5000 0.0000  2 Be 2.28
4 Be 0.0000 0.0000 0.0000  6 Hg 2.28
5 Hg 0.0000 0.0000 0.5000  2 Be 2.28

Entry 3:
KScAgB2: single point on PBEsol structure, meta-GGA SCAN.

space group	P4/mmm
formation enthalpy at 0 K	1.31	eV/atom
total magnetization	1.932	μB per formula unit
volume	23.06	A^3/atom
total energy	-12.4469	eV per atom

Lattice parameters (Å, degrees): 4.6587 4.6587 5.3115 90.00 90.00 90.00
Last column: nearest neighbours and their distance in Å.
Positions (direct):
1 B 0.0000 0.5000 0.0000  2 Sc 2.33
2 Sc 0.0000 0.0000 0.0000  4 B 2.33
3 Ag 0.0000 0.0000 0.5000  2 Sc 2.66
4 K 0.5000 0.5000 0.5000  4 Ag 3.29, 8 B 3.53
5 B 0.5000 0.0000 0.0000  2 Sc 2.33